(1)
Here is a geometry-optimized Ge12Sb3Au5 structure from Alexandria via LeMat-Bulk. Energies are from PBE.

The space group is Ia-3d (No. 230) and the conventional cell measures 15.854, 15.854 and 15.854 Å, with angles of 90.00, 90.00 and 90.00 degrees. Symmetry generates all atoms from Ge at (0.018, 0.067, 0.651), Sb at (0.000, 0.250, 0.125), Au at (0.000, 0.000, 0.000) and Au at (0.000, 0.250, 0.375).

The value obtained for the formation energy without anion corrections is 0.24 eV/atom. For the density of states at the Fermi level, the calculation gives 85.46 states/eV per cell. The total energy is -634.9 eV per cell.

(2)
Here is a geometry-optimized Ge2SbAu2 structure from Alexandria via LeMat-Bulk. Energies are from PBE.

The space group is P4/mbm (No. 127) and the conventional cell measures 8.160, 8.160 and 3.155 Å, with angles of 90.00, 90.00 and 90.00 degrees. Symmetry generates all atoms from Ge at (0.182, 0.318, 0.000), Sb at (0.000, 0.000, 0.000) and Au at (0.121, 0.621, 0.500).

The value obtained for the formation energy without anion corrections is 0.19 eV/atom. For the density of states at the Fermi level, the calculation gives 5.19 states/eV per cell. The total energy is -37.9 eV per cell.

(3)
Here is a geometry-optimized Ge2Sb2Au5 structure from Alexandria via LeMat-Bulk. Energies are from PBE.

The space group is C2/m (No. 12) and the conventional cell measures 12.650, 4.308 and 8.920 Å, with angles of 90.00, 120.72 and 90.00 degrees. Symmetry generates all atoms from Ge at (0.144, 0.000, 0.021), Sb at (0.153, 0.500, 0.540), Au at (0.000, 0.000, 0.500), Au at (0.088, 0.000, 0.262) and Au at (0.110, 0.500, 0.835).

The value obtained for the formation energy without anion corrections is 0.04 eV/atom. For the density of states at the Fermi level, the calculation gives 8.41 states/eV per cell. The total energy is -67.1 eV per cell.

(4)
Here is a geometry-optimized GeSb2Au2 structure from Alexandria via LeMat-Bulk. Energies are from PBE.

The space group is P4/mbm (No. 127) and the conventional cell measures 7.504, 7.504 and 4.059 Å, with angles of 90.00, 90.00 and 90.00 degrees. Symmetry generates all atoms from Ge at (0.000, 0.000, 0.000), Sb at (0.173, 0.327, 0.500) and Au at (0.135, 0.635, 0.000).

The value obtained for the formation energy without anion corrections is 0.14 eV/atom. For the density of states at the Fermi level, the calculation gives 4.26 states/eV per cell. The total energy is -37.4 eV per cell.

(5)
Here is a geometry-optimized GeSb4Au5 structure from Alexandria via LeMat-Bulk. Energies are from PBE.

The space group is C2/m (No. 12) and the conventional cell measures 5.699, 5.719 and 14.438 Å, with angles of 90.00, 99.31 and 90.00 degrees. Symmetry generates all atoms from Ge at (0.000, 0.000, 0.000), Sb at (0.101, 0.500, 0.196), Sb at (0.202, 0.000, 0.398), Au at (0.000, 0.500, 0.000), Au at (0.100, 0.000, 0.192) and Au at (0.203, 0.500, 0.400).

The value obtained for the formation energy without anion corrections is -0.02 eV/atom. For the density of states at the Fermi level, the calculation gives 8.63 states/eV per cell. The total energy is -75.3 eV per cell.

(6)
Here is a geometry-optimized Ge2SbAu2 structure from Alexandria via LeMat-Bulk. Energies are from PBE.

The space group is I4/mmm (No. 139) and the conventional cell measures 4.168, 4.168 and 12.331 Å, with angles of 90.00, 90.00 and 90.00 degrees. Symmetry generates all atoms from Ge at (0.000, 0.500, 0.250), Sb at (0.000, 0.000, 0.000) and Au at (0.000, 0.000, 0.390).

The value obtained for the formation energy without anion corrections is 0.11 eV/atom. For the density of states at the Fermi level, the calculation gives 3.33 states/eV per cell. The total energy is -38.7 eV per cell.

(7)
Here is a geometry-optimized GeSb2Au3 structure from Alexandria via LeMat-Bulk. Energies are from PBE.

The space group is Cm (No. 8) and the conventional cell measures 5.665, 5.638 and 9.054 Å, with angles of 90.00, 107.58 and 90.00 degrees. Symmetry generates all atoms from Ge at (0.000, 0.000, 0.000), Sb at (0.171, 0.500, 0.321), Sb at (0.334, 0.000, 0.685), Au at (0.002, 0.500, 0.003), Au at (0.179, 0.000, 0.336) and Au at (0.326, 0.500, 0.668).

The value obtained for the formation energy without anion corrections is 0.01 eV/atom. For the density of states at the Fermi level, the calculation gives 5.64 states/eV per cell. The total energy is -45.3 eV per cell.

(8)
Here is a geometry-optimized Sn2GeSbAu4 structure from Alexandria via LeMat-Bulk. Energies are from PBE.

The space group is Fmm2 (No. 42) and the conventional cell measures 8.537, 11.210 and 7.677 Å, with angles of 90.00, 90.00 and 90.00 degrees. Symmetry generates all atoms from Sn at (0.250, 0.250, 0.000), Ge at (0.000, 0.000, 0.251), Sb at (0.000, 0.000, 0.750), Au at (0.000, 0.238, 0.250) and Au at (0.250, 0.000, 0.000).

The value obtained for the formation energy without anion corrections is -0.05 eV/atom. For the density of states at the Fermi level, the calculation gives 11.17 states/eV per cell. The total energy is -121.2 eV per cell.

What is the formation energy without anion corrections in the second record?
0.19 eV/atom

formation energy without anion corrections of number 1 (Ge12Sb3Au5)?
0.24 eV/atom

Copy entry 2 word for word.
Here is a geometry-optimized Ge2SbAu2 structure from Alexandria via LeMat-Bulk. Energies are from PBE.

The space group is P4/mbm (No. 127) and the conventional cell measures 8.160, 8.160 and 3.155 Å, with angles of 90.00, 90.00 and 90.00 degrees. Symmetry generates all atoms from Ge at (0.182, 0.318, 0.000), Sb at (0.000, 0.000, 0.000) and Au at (0.121, 0.621, 0.500).

The value obtained for the formation energy without anion corrections is 0.19 eV/atom. For the density of states at the Fermi level, the calculation gives 5.19 states/eV per cell. The total energy is -37.9 eV per cell.

Which formula does entry 7 have?
GeSb2Au3